A plane-wave DFT calculation with GGA-PBE was carried out for Hg2AsPb after structural relaxation.

## Properties
Calculated formation energy, eV per atom: 0.145
Relative energy among the computed polymorphs, meV/atom: 95
Total magnetic moment, μB/atom: 0.000

Unit cell a=6.289 b=6.289 c=6.289 alpha=148.85 beta=126.08 gamma=63.59
Element x y z (fractional)
Hg  0.230  0.230  0.000
Hg  0.770  0.770  0.000
As  0.000  0.500  0.500
Pb  0.500  0.000  0.500